No. 1
VASP calculation (GGA-PBE) on a geometry-optimized Ac3Cd5In6 structure.

```
Ac3Cd5In6
1.0
4.9142 0.0000 0.0000
0.0000 11.0702 0.0000
0.0000 0.0000 14.3760
Ac Cd In
6 10 12
direct
0.0000 0.2483 0.0000
0.0000 0.2515 0.3073
0.5000 0.7517 0.5000
0.5000 0.7485 0.8073
0.5000 0.7485 0.1927
0.0000 0.2515 0.6927
0.5000 0.4751 0.6486
0.0000 0.8815 0.6550
0.5000 0.1185 0.1550
0.0000 0.8815 0.3450
0.0000 0.5249 0.1486
0.5000 0.1185 0.8450
0.0000 0.7424 0.0000
0.0000 0.5249 0.8514
0.5000 0.4751 0.3514
0.5000 0.2576 0.5000
0.0000 0.6233 0.3437
0.5000 0.3767 0.1563
0.0000 0.9719 0.8531
0.0000 0.0570 0.5000
0.0000 0.4450 0.5000
0.5000 0.9430 0.0000
0.5000 0.3767 0.8437
0.5000 0.0281 0.3531
0.5000 0.0281 0.6469
0.0000 0.6233 0.6563
0.0000 0.9719 0.1469
0.5000 0.5550 0.0000
```

Properties
Uncorrected energy (eV per atom): -2.7252
Symmetry: Pmmn, No. 59

No. 2
VASP calculation (GGA-PBE) on a geometry-optimized Ac3Cd4In4 structure.

```
Ac3Cd4In4
1.0
-0.7913 -3.0049 -3.0390
0.3096 -3.5858 3.4653
-14.9886 -2.0633 2.8259
Cd In Ac
4 4 3
direct
0.2559 0.2530 0.4896
0.7441 0.7470 0.5105
0.5945 0.0952 0.8108
0.4055 0.9048 0.1893
0.6899 0.1919 0.6211
0.4526 0.4511 0.0974
0.5475 0.5489 0.9025
0.3101 0.8081 0.3789
0.8544 0.3528 0.2922
0.0000 0.0000 0.0000
0.1457 0.6473 0.7077
```

Properties
Polymorph energy (0 for the lowest one) (eV/f.u.): 0.38
Symmetry: P-1, No. 2

No. 3
VASP calculation (GGA-PBE) on a geometry-optimized Ac3Cd2In4 structure.

```
Ac3Cd2In4
1.0
5.0544 0.0000 0.0000
-2.5272 6.0457 -0.2510
0.0000 -2.8146 9.2837
In Ac Cd
4 3 2
direct
0.0817 0.1635 0.4111
0.2900 0.5800 0.9499
0.7100 0.4200 0.0501
0.9183 0.8365 0.5889
0.0000 0.0000 0.0000
0.6487 0.2973 0.6793
0.3513 0.7027 0.3207
0.3498 0.6996 0.6842
0.6502 0.3004 0.3158
```

Properties
Uncorrected energy (eV per atom): -3.2253
Symmetry: C2/m, No. 12

No. 4
VASP calculation (GGA-PBE) on a geometry-optimized AcCd2In2 structure.

```
AcCd2In2
1.0
-2.0449 -4.3392 -0.0933
1.4929 -0.8000 4.4889
-10.2603 4.7439 4.2578
In Cd Ac
4 4 2
direct
0.0000 0.0000 0.5000
0.5000 0.0000 0.8648
0.5000 0.5000 0.5000
0.0000 0.5000 0.1352
0.0000 0.5000 0.3623
0.5000 0.5000 0.0000
0.0000 0.0000 0.0000
0.5000 0.0000 0.6377
0.5000 0.0000 0.2484
0.0000 0.5000 0.7516
```

Properties
Polymorph energy (0 for the lowest one) (eV/f.u.): 0.00
Symmetry: P4/nmm, No. 129

No. 5
VASP calculation (GGA-PBE) on a geometry-optimized Ac2Cd12In5 structure.

```
Ac2Cd12In5
1.0
7.8588 -0.0095 0.6511
0.5986 7.8360 0.6511
-0.0103 -0.0095 7.8858
In Cd Ac
5 12 2
direct
0.0000 0.5000 0.0000
0.0996 0.0996 0.0996
0.5000 0.0000 0.0000
0.9004 0.9004 0.9004
0.0000 0.0000 0.5000
0.6483 0.6483 0.1764
0.3169 0.6831 0.0000
0.6831 0.0000 0.3169
0.0000 0.3169 0.6831
0.3169 0.0000 0.6831
0.8236 0.3517 0.3517
0.0000 0.6831 0.3169
0.3517 0.3517 0.8236
0.6831 0.3169 0.0000
0.3517 0.8236 0.3517
0.1764 0.6483 0.6483
0.6483 0.1764 0.6483
0.3329 0.3329 0.3329
0.6671 0.6671 0.6671
```

Properties
Uncorrected energy (eV per atom): -1.8762
Symmetry: R-3m, No. 166

No. 6
VASP calculation (GGA-PBE) on a geometry-optimized AcCd6In6 structure.

```
AcCd6In6
1.0
-1.7183 -5.6114 -1.2842
6.2010 -4.5722 -2.3699
0.0585 -4.7278 6.5283
In Cd Ac
6 6 1
direct
0.0000 0.6467 0.3533
0.6490 0.3510 0.3510
0.0000 0.3533 0.6467
0.3030 0.1969 0.1969
0.6970 0.8030 0.8030
0.3510 0.6490 0.6490
0.0000 0.0000 0.5000
0.0000 0.5000 0.0000
0.5000 0.7822 0.2178
0.5000 0.5000 0.0000
0.5000 0.2178 0.7822
0.5000 0.0000 0.5000
0.0000 0.0000 0.0000
```

Properties
Uncorrected energy (eV per atom): -2.0984
Symmetry: Immm, No. 71

No. 7
VASP calculation (GGA-PBE) on a geometry-optimized AcCd17In structure.

```
AcCd17In
1.0
7.7248 0.0437 0.9603
0.8536 7.6776 0.9603
0.0486 0.0437 7.7841
Cd Ac In
17 1 1
direct
0.0021 0.6971 0.2937
0.6971 0.0021 0.2937
0.9793 0.5179 0.9793
0.6297 0.1794 0.6297
0.9090 0.9090 0.9090
0.2937 0.6971 0.0021
0.1160 0.1160 0.1160
0.6971 0.2937 0.0021
0.6297 0.6297 0.1794
0.9793 0.9793 0.5179
0.1794 0.6297 0.6297
0.3500 0.8602 0.3500
0.3500 0.3500 0.8602
0.2937 0.0021 0.6971
0.5179 0.9793 0.9793
0.0021 0.2937 0.6971
0.8602 0.3500 0.3500
0.6611 0.6611 0.6611
0.3524 0.3524 0.3524
```

Properties
Uncorrected energy (eV per atom): -1.2538
Symmetry: R3m, No. 160

No. 8
VASP calculation (GGA-PBE) on a geometry-optimized Ac2Cd2In structure.

```
Ac2Cd2In
1.0
-1.6172 0.6287 4.8772
2.7754 -5.9367 -1.0617
7.6541 7.3135 1.5953
Ac In Cd
4 2 4
direct
0.3334 0.6668 0.9504
0.5969 0.1938 0.3769
0.6666 0.3332 0.0496
0.4031 0.8062 0.6231
0.7268 0.4536 0.7255
0.2732 0.5464 0.2745
0.9953 0.9905 0.8558
0.1032 0.2065 0.6275
0.0047 0.0095 0.1442
0.8968 0.7935 0.3725
```

Properties
Polymorph energy (0 for the lowest one) (eV/f.u.): 0.09
Symmetry: C2/m, No. 12

No. 9
VASP calculation (GGA-PBE) on a geometry-optimized AcCdIn structure.

```
AcCdIn
1.0
3.8459 0.0000 0.0000
0.0000 3.8459 0.0000
-1.9229 -1.9229 6.1785
Ac In Cd
1 1 1
direct
0.9980 0.9980 0.9961
0.6866 0.6866 0.3732
0.3154 0.3154 0.6307
```

Properties
Polymorph energy (0 for the lowest one) (eV/f.u.): 0.54
Symmetry: I4mm, No. 107

No. 10
VASP calculation (GGA-PBE) on a geometry-optimized AcCd4In15 structure.

```
AcCd4In15
1.0
-3.9790 0.2093 -2.6200
1.4224 -3.8259 -2.4659
-10.9278 -14.0368 15.4747
In Cd Ac
15 4 1
direct
0.5000 0.0000 0.8906
0.5000 0.5000 0.5951
0.5000 0.0000 0.6957
0.0000 0.5000 0.5000
0.5000 0.0000 0.5000
0.0000 0.5000 0.3043
0.5000 0.5000 0.0000
0.5000 0.0000 0.3043
0.0000 0.5000 0.6957
0.5000 0.5000 0.7921
0.0000 0.5000 0.8906
0.5000 0.5000 0.4049
0.0000 0.5000 0.1094
0.5000 0.0000 0.1094
0.5000 0.5000 0.2079
0.0000 0.0000 0.2032
0.0000 0.0000 0.5960
0.0000 0.0000 0.7968
0.0000 0.0000 0.4040
0.0000 0.0000 0.0000
```

Properties
Uncorrected energy (eV per atom): -2.4848
Symmetry: P4/mmm, No. 123

No. 11
VASP calculation (GGA-PBE) on a geometry-optimized AcCd10In structure.

```
AcCd10In
1.0
-1.4494 -3.0769 -3.5395
5.7878 -1.1034 -1.4108
0.1518 -7.8486 6.7608
Cd Ac In
10 1 1
direct
0.0000 0.5000 0.1946
0.5000 0.0000 0.5000
0.5000 0.2372 0.2350
0.0000 0.5000 0.8054
0.5000 0.7628 0.2350
0.5000 0.2372 0.7650
0.0000 0.0000 0.3468
0.0000 0.0000 0.6532
0.5000 0.7628 0.7650
0.5000 0.5000 0.0000
0.0000 0.0000 0.0000
0.0000 0.5000 0.5000
```

Properties
Uncorrected energy (eV per atom): -1.4126
Symmetry: Pmmm, No. 47

No. 12
VASP calculation (GGA-PBE) on a geometry-optimized AcCd3In structure.

```
AcCd3In
1.0
4.9265 0.0000 0.0000
0.0000 9.2480 0.0000
0.0000 0.0000 12.2587
Cd In Ac
12 4 4
direct
0.7500 0.1070 0.8107
0.7500 0.4085 0.8724
0.2500 0.5915 0.1276
0.2500 0.3930 0.3107
0.7500 0.9085 0.6276
0.7500 0.1029 0.1881
0.7500 0.6029 0.3119
0.2500 0.8930 0.1893
0.2500 0.8971 0.8119
0.2500 0.3971 0.6881
0.2500 0.0915 0.3724
0.7500 0.6070 0.6893
0.2500 0.0903 0.6230
0.2500 0.5903 0.8770
0.7500 0.9097 0.3770
0.7500 0.4097 0.1230
0.2500 0.2054 0.9991
0.7500 0.2946 0.4991
0.2500 0.7054 0.5009
0.7500 0.7946 0.0009
```

Properties
Polymorph energy (0 for the lowest one) (eV/f.u.): 0.24
Symmetry: Pnma, No. 62

No. 13
VASP calculation (GGA-PBE) on a geometry-optimized Ac2Cd7In2 structure.

```
Ac2Cd7In2
1.0
6.3650 0.2028 0.6492
0.7520 6.9825 0.1786
0.3295 -1.2752 6.9006
Ac Cd In
2 7 2
direct
0.5858 0.7751 0.7751
0.4142 0.2249 0.2249
0.1450 0.6038 0.6038
0.0000 0.0000 0.0000
0.1574 0.0553 0.6138
0.8426 0.9447 0.3862
0.8550 0.3962 0.3962
0.1574 0.6138 0.0553
0.8426 0.3862 0.9447
0.5000 0.2814 0.7186
0.5000 0.7186 0.2814
```

Properties
Uncorrected energy (eV per atom): -2.0066
Symmetry: C2/m, No. 12

No. 14
VASP calculation (GGA-PBE) on a geometry-optimized AcCd3In structure.

```
AcCd3In
1.0
4.3927 -0.4203 1.8718
-0.3811 4.3963 1.8718
-0.3878 -0.3844 6.8377
Cd Ac In
3 1 1
direct
0.9861 0.9861 0.0331
0.3558 0.8470 0.2973
0.8470 0.3558 0.2973
0.6014 0.6014 0.7972
0.2109 0.2109 0.5728
```

Properties
Polymorph energy (0 for the lowest one) (eV/f.u.): 0.00
Symmetry: Cm, No. 8

No. 15
VASP calculation (GGA-PBE) on a geometry-optimized AcCd2In2 structure.

```
AcCd2In2
1.0
4.7160 0.5154 -0.4799
-0.5645 4.7104 -0.4799
-1.5400 -1.9385 6.5495
Cd Ac In
2 1 2
direct
0.6115 0.6115 0.7222
0.3885 0.3885 0.2778
0.0000 0.0000 0.5000
0.7493 0.2507 0.0000
0.2507 0.7493 0.0000
```

Properties
Polymorph energy (0 for the lowest one) (eV/f.u.): 0.04
Symmetry: C2/m, No. 12

No. 16
VASP calculation (GGA-PBE) on a geometry-optimized AcCd4In8 structure.

```
AcCd4In8
1.0
5.9841 0.0000 0.0000
2.9921 7.6272 0.0000
2.9921 0.0000 7.6272
Cd In Ac
4 8 1
direct
0.5000 0.5000 0.0000
0.5000 0.0000 0.5000
0.0000 0.5000 0.0000
0.0000 0.0000 0.5000
0.5000 0.2088 0.7912
0.3545 0.6455 0.6455
0.0000 0.6455 0.3545
0.0000 0.3545 0.6455
0.2912 0.2088 0.2088
0.7088 0.7912 0.7912
0.5000 0.7912 0.2088
0.6455 0.3545 0.3545
0.0000 0.0000 0.0000
```

Properties
Uncorrected energy (eV per atom): -2.3574
Symmetry: I4/mmm, No. 139

No. 17
VASP calculation (GGA-PBE) on a geometry-optimized Ac6CdIn2 structure.

```
Ac6CdIn2
1.0
6.9849 0.0000 0.5997
0.0000 9.5528 0.0000
0.0307 0.0000 10.6226
Cd Ac In
2 12 4
direct
0.5000 0.5000 0.0000
0.0000 0.0000 0.5000
0.5986 0.1872 0.5665
0.1332 0.0430 0.7875
0.1246 0.3378 0.4429
0.3754 0.8378 0.0571
0.9014 0.6872 0.9335
0.8668 0.9570 0.2125
0.6246 0.1622 0.9429
0.4014 0.8128 0.4335
0.6332 0.4570 0.2875
0.0986 0.3128 0.0665
0.3668 0.5430 0.7125
0.8754 0.6622 0.5571
0.5833 0.8758 0.7425
0.9167 0.3758 0.7575
0.0833 0.6242 0.2425
0.4167 0.1242 0.2575
```

Properties
Polymorph energy (0 for the lowest one) (eV/f.u.): 0.41
Symmetry: P2_1/c, No. 14

No. 18
VASP calculation (GGA-PBE) on a geometry-optimized Ac3CdIn2 structure.

```
Ac3CdIn2
1.0
-0.9585 1.6491 -3.5767
-3.8854 0.2071 1.1367
1.9992 11.4571 4.7466
Ac Cd In
3 1 2
direct
0.0000 0.0000 0.0000
0.0000 0.0000 0.6646
0.0000 0.0000 0.3354
0.5000 0.5000 0.5000
0.5000 0.5000 0.1711
0.5000 0.5000 0.8289
```

Properties
Polymorph energy (0 for the lowest one) (eV/f.u.): 0.02
Symmetry: P4/mmm, No. 123

No. 19
VASP calculation (GGA-PBE) on a geometry-optimized Ac2Cd3In2 structure.

```
Ac2Cd3In2
1.0
4.9974 0.0000 0.0000
-2.4987 5.8204 -1.2061
0.0000 -1.2328 7.3207
Cd Ac In
3 2 2
direct
0.5944 0.1888 0.4229
0.4056 0.8112 0.5771
0.5000 0.0000 0.0000
0.8495 0.6990 0.2349
0.1505 0.3010 0.7651
0.8482 0.6964 0.7500
0.1518 0.3036 0.2500
```

Properties
Polymorph energy (0 for the lowest one) (eV/f.u.): 0.00
Symmetry: C2/m, No. 12

No. 20
VASP calculation (GGA-PBE) on a geometry-optimized Ac6CdIn5 structure.

```
Ac6CdIn5
1.0
-2.9415 -1.0632 -4.9071
6.6996 -3.3187 -3.2961
-3.8340 -8.3574 0.6225
In Ac Cd
5 6 1
direct
0.6671 0.5000 0.6659
0.6636 0.0000 0.6725
0.3364 0.0000 0.3275
0.0000 0.5000 0.0000
0.3329 0.5000 0.3341
0.1669 0.7513 0.6663
0.5000 0.2500 0.0000
0.1669 0.2487 0.6663
0.8331 0.2487 0.3337
0.5000 0.7500 0.0000
0.8331 0.7513 0.3337
0.0000 0.0000 0.0000
```

Properties
Uncorrected energy (eV per atom): -3.6728
Symmetry: P2/m, No. 10